[1]
Density functional theory data (PBE) for an optimized crystal structure of Tc2SeN.

a b c (Å): 4.144 4.144 4.144
angles (deg): 60.00 60.00 60.00
Fractional positions:
Tc 0.250 0.250 0.250
Tc 0.750 0.750 0.750
Se 0.000 0.000 0.000
N 0.500 0.500 0.500

Results
V: 12.6 Å³ per atom
Magnetic moment: 0.00 μB per formula unit
Uncorrected energy: -7.425 eV/atom
Formation energy from raw total energies: 0.7106 eV per atom
Energy relative to the lowest polymorph listed for this composition: 564 meV/atom
Density of states at the Fermi level: 2.3 states/eV/cell

[2]
Density functional theory data (PBE) for an optimized crystal structure of La7Pr12Tm.

a b c (Å): 9.991 9.991 9.991
angles (deg): 109.47 109.47 109.47
Fractional positions:
La 0.000 0.000 0.500
La 0.000 0.500 0.000
La 0.000 0.500 0.500
La 0.500 0.000 0.000
La 0.500 0.000 0.500
La 0.500 0.500 0.000
La 0.500 0.500 0.500
Pr 0.071 0.276 0.795
Pr 0.205 0.481 0.276
Pr 0.205 0.929 0.724
Pr 0.276 0.205 0.481
Pr 0.276 0.795 0.071
Pr 0.481 0.276 0.205
Pr 0.519 0.724 0.795
Pr 0.724 0.205 0.929
Pr 0.724 0.795 0.519
Pr 0.795 0.071 0.276
Pr 0.795 0.519 0.724
Pr 0.929 0.724 0.205
Tm 0.000 0.000 0.000

Results
V: 38.4 Å³ per atom
Magnetic moment: 0.00 μB per formula unit
Uncorrected energy: -4.260 eV/atom
Formation energy from the elements: 0.56 eV per atom
Energy relative to the lowest polymorph listed for this composition: 481 meV/atom
Density of states at the Fermi level: 32.5 states/eV/cell

[3]
Density functional theory data (PBE) for an optimized crystal structure of RbSrGa2Cl8.

a b c (Å): 10.445 10.445 10.445
angles (deg): 37.96 37.96 37.96
Fractional positions:
Rb 0.000 0.000 0.000
Sr 0.500 0.500 0.500
Ga 0.251 0.251 0.251
Ga 0.749 0.749 0.749
Cl 0.092 0.436 0.792
Cl 0.208 0.908 0.564
Cl 0.328 0.328 0.328
Cl 0.436 0.792 0.092
Cl 0.564 0.208 0.908
Cl 0.672 0.672 0.672
Cl 0.792 0.092 0.436
Cl 0.908 0.564 0.208

Results
V: 32.2 Å³ per atom
Magnetic moment: 0.85 μB per formula unit
Uncorrected energy: -3.431 eV/atom
Formation energy from raw total energies: -1.4742 eV per atom
Density of states at the Fermi level: 6.5 states/eV/cell

[4]
Density functional theory data (PBE) for an optimized crystal structure of MnBeIr2.

a b c (Å): 8.052 8.052 8.052
angles (deg): 19.40 19.40 19.40
Fractional positions:
Mn 0.000 0.000 0.000
Be 0.500 0.500 0.500
Ir 0.246 0.246 0.246
Ir 0.754 0.754 0.754

Results
V: 12.6 Å³ per atom
Magnetic moment: 1.71 μB per formula unit
Uncorrected energy: -7.790 eV/atom
Formation energy from the elements: -0.14 eV per atom
Density of states at the Fermi level: 5.1 states/eV/cell

[5]
Density functional theory data (PBE) for an optimized crystal structure of Ce8PC3I4.

a b c (Å): 8.977 8.977 8.977
angles (deg): 51.52 51.52 51.52
Fractional positions:
Ce 0.204 0.738 0.738
Ce 0.224 0.224 0.224
Ce 0.262 0.262 0.796
Ce 0.262 0.796 0.262
Ce 0.738 0.204 0.738
Ce 0.738 0.738 0.204
Ce 0.776 0.776 0.776
Ce 0.796 0.262 0.262
P 0.500 0.500 0.500
C 0.000 0.000 0.500
C 0.000 0.500 0.000
C 0.500 0.000 0.000
I 0.000 0.000 0.000
I 0.000 0.500 0.500
I 0.500 0.000 0.500
I 0.500 0.500 0.000

Results
V: 25.6 Å³ per atom
Magnetic moment: 6.78 μB per formula unit
Uncorrected energy: -6.187 eV/atom
Formation energy from raw total energies: -0.7652 eV per atom
Density of states at the Fermi level: 38.1 states/eV/cell

[6]
Density functional theory data (PBE) for an optimized crystal structure of LiTaRh2.

a b c (Å): 3.319 3.319 5.404
angles (deg): 90.00 90.00 90.00
Fractional positions:
Li 0.000 0.000 0.000
Ta 0.500 0.500 0.710
Rh 0.000 0.000 0.491
Rh 0.500 0.500 0.154

Results
V: 14.9 Å³ per atom
Magnetic moment: 0.00 μB per formula unit
Uncorrected energy: -7.330 eV/atom
Formation energy from the elements: -0.21 eV per atom
Energy relative to the lowest polymorph listed for this composition: 341 meV/atom
Density of states at the Fermi level: 1.5 states/eV/cell

[7]
Density functional theory data (PBE) for an optimized crystal structure of Pu2Ag3Pd2.

a b c (Å): 4.800 4.800 7.892
angles (deg): 107.52 107.52 59.91
Fractional positions:
Pu 0.075 0.075 0.227
Pu 0.925 0.925 0.773
Ag 0.334 0.334 0.001
Ag 0.500 0.500 0.500
Ag 0.666 0.666 0.999
Pd 0.202 0.202 0.605
Pd 0.798 0.798 0.395

Results
V: 21.1 Å³ per atom
Magnetic moment: 11.30 μB per formula unit
Uncorrected energy: -6.955 eV/atom
Formation energy from the elements: -0.15 eV per atom
Density of states at the Fermi level: 24.1 states/eV/cell

[8]
Density functional theory data (PBE) for an optimized crystal structure of Ho2Th5Sc12.

a b c (Å): 8.624 8.624 8.211
angles (deg): 91.83 91.83 59.76
Fractional positions:
Ho 0.184 0.816 0.000
Ho 0.816 0.184 0.000
Th 0.207 0.207 0.021
Th 0.266 0.266 0.427
Th 0.500 0.500 0.500
Th 0.734 0.734 0.573
Th 0.793 0.793 0.979
Sc 0.057 0.057 0.337
Sc 0.063 0.686 0.333
Sc 0.174 0.529 0.750
Sc 0.314 0.937 0.667
Sc 0.415 0.415 0.122
Sc 0.471 0.826 0.250
Sc 0.529 0.174 0.750
Sc 0.585 0.585 0.878
Sc 0.686 0.063 0.333
Sc 0.826 0.471 0.250
Sc 0.937 0.314 0.667
Sc 0.943 0.943 0.663

Results
V: 27.7 Å³ per atom
Magnetic moment: 0.00 μB per formula unit
Uncorrected energy: -6.281 eV/atom
Formation energy from the elements: 0.15 eV per atom
Energy relative to the lowest polymorph listed for this composition: 0 meV/atom
Density of states at the Fermi level: 32.9 states/eV/cell

[9]
Density functional theory data (PBE) for an optimized crystal structure of Sc3CrCo.

a b c (Å): 4.809 4.809 4.809
angles (deg): 90.00 90.00 90.00
Fractional positions:
Sc 0.000 0.000 0.500
Sc 0.000 0.500 0.000
Sc 0.500 0.000 0.000
Cr 0.500 0.500 0.500
Co 0.000 0.000 0.000

Results
V: 22.2 Å³ per atom
Magnetic moment: 4.43 μB per formula unit
Uncorrected energy: -6.920 eV/atom
Formation energy from the elements: 0.22 eV per atom
Energy relative to the lowest polymorph listed for this composition: 0 meV/atom
Density of states at the Fermi level: 5.2 states/eV/cell

[10]
Density functional theory data (PBE) for an optimized crystal structure of Tm2Mg2Os.

a b c (Å): 10.448 10.448 10.448
angles (deg): 161.38 161.38 26.45
Fractional positions:
Tm 0.080 0.080 0.000
Tm 0.920 0.920 0.000
Mg 0.298 0.298 0.000
Mg 0.702 0.702 0.000
Os 0.500 0.500 0.000

Results
V: 23.2 Å³ per atom
Magnetic moment: 0.00 μB per formula unit
Uncorrected energy: -4.901 eV/atom
Formation energy from the elements: -0.23 eV per atom
Density of states at the Fermi level: 2.2 states/eV/cell

[11]
Density functional theory data (PBE) for an optimized crystal structure of Zn2FeRh.

a b c (Å): 4.247 4.247 4.247
angles (deg): 60.00 60.00 60.00
Fractional positions:
Zn 0.000 0.000 0.000
Zn 0.250 0.250 0.250
Fe 0.500 0.500 0.500
Rh 0.750 0.750 0.750

Results
V: 13.5 Å³ per atom
Magnetic moment: 3.03 μB per formula unit
Uncorrected energy: -4.719 eV/atom
Formation energy from the elements: -0.13 eV per atom
Density of states at the Fermi level: 1.2 states/eV/cell

[12]
Density functional theory data (PBE) for an optimized crystal structure of BeW.

a b c (Å): 6.232 6.232 6.232
angles (deg): 90.00 90.00 90.00
Fractional positions:
Be 0.000 0.250 0.500
Be 0.000 0.750 0.500
Be 0.250 0.500 0.000
Be 0.500 0.000 0.250
Be 0.500 0.000 0.750
Be 0.750 0.500 0.000
W 0.000 0.500 0.250
W 0.000 0.500 0.750
W 0.250 0.000 0.500
W 0.500 0.250 0.000
W 0.500 0.750 0.000
W 0.750 0.000 0.500

Results
V: 20.2 Å³ per atom
Magnetic moment: 0.00 μB per formula unit
Uncorrected energy: -5.973 eV/atom
Formation energy from the elements: 2.37 eV per atom
Energy relative to the lowest polymorph listed for this composition: 2594 meV/atom
Density of states at the Fermi level: 11.9 states/eV/cell